1.
KAsOF2 | PBE-GGA | optimized geometry

a b c (Å): 4.520 4.520 4.572
angles (deg): 90.00 90.00 90.00
Atoms (fractional coordinates):
O (0.000, 0.000, 0.500)
F (0.500, 0.000, 0.000)
F (0.000, 0.500, 0.000)
As (0.500, 0.500, 0.500)
K (0.000, 0.000, 0.000)

- ΔE to the lowest computed polymorph (meV per atom) = 1752
- Fermi-level density of states (states/eV per cell) = 5.1



2.
K5AsO4F2 | PBE-GGA | optimized geometry

a b c (Å): 6.286 5.906 7.629
angles (deg): 90.00 90.00 122.15
Atoms (fractional coordinates):
K (0.717, 0.629, 0.763)
K (0.717, 0.629, 0.237)
K (0.088, 0.371, 0.763)
K (0.088, 0.371, 0.237)
K (0.412, 0.000, 0.500)
O (0.574, 0.000, 0.183)
O (0.574, 0.000, 0.817)
O (0.387, 0.280, 0.000)
O (0.108, 0.720, 0.000)
As (0.410, 0.000, 0.000)
F (0.955, 0.580, 0.500)
F (0.375, 0.420, 0.500)

- Fermi-level density of states (states/eV per cell) = 0.0



3.
K2AsO2F4 | PBE-GGA | optimized geometry

a b c (Å): 4.881 5.779 5.779
angles (deg): 59.57 86.49 86.49
Each line ends with the local moment (μB).
Atoms (fractional coordinates):
F (0.297, 0.690, 0.151)  0.03
F (0.297, 0.151, 0.690)  0.03
F (0.703, 0.849, 0.310)  0.03
F (0.703, 0.310, 0.849)  0.03
K (0.802, 0.330, 0.330)  0.00
K (0.198, 0.670, 0.670)  0.00
O (0.731, 0.859, 0.859)  0.36
O (0.269, 0.141, 0.141)  0.36
As (0.500, 0.000, 0.000)  -0.01

- Fermi-level density of states (states/eV per cell) = 4.2



4.
KAsO2F4 | PBE-GGA | optimized geometry

a b c (Å): 8.145 8.145 6.743
angles (deg): 87.16 87.16 142.82
Each line ends with the local moment (μB).
Atoms (fractional coordinates):
O (0.820, 0.056, 0.495)  0.72
O (0.056, 0.820, 0.995)  0.72
O (0.180, 0.944, 0.505)  0.72
O (0.944, 0.180, 0.005)  0.72
F (0.281, 0.217, 0.201)  0.04
F (0.432, 0.038, 0.162)  0.07
F (0.719, 0.783, 0.799)  0.04
F (0.783, 0.719, 0.299)  0.04
F (0.568, 0.962, 0.838)  0.07
F (0.962, 0.568, 0.338)  0.07
F (0.038, 0.432, 0.662)  0.07
F (0.217, 0.281, 0.701)  0.04
K (0.629, 0.371, 0.750)  0.00
K (0.371, 0.629, 0.250)  0.00
As (0.887, 0.113, 0.750)  -0.04
As (0.113, 0.887, 0.250)  -0.04

- ΔE to the lowest computed polymorph (meV per atom) = 75



5.
KAsOF2 | PBE-GGA | optimized geometry

a b c (Å): 4.442 4.442 3.929
angles (deg): 90.00 90.00 90.00
Atoms (fractional coordinates):
F (0.000, 0.500, 0.000)
F (0.500, 0.000, 0.000)
K (0.500, 0.500, 0.500)
As (0.000, 0.000, 0.000)
O (0.000, 0.000, 0.500)

- ΔE to the lowest computed polymorph (meV per atom) = 0
- Fermi-level density of states (states/eV per cell) = 0.1



6.
K2AsOF5 | PBE-GGA | optimized geometry

a b c (Å): 6.043 6.043 6.043
angles (deg): 85.04 122.91 122.91
Each line ends with the local moment (μB).
Atoms (fractional coordinates):
K (0.500, 0.744, 0.244)  0.00
K (0.500, 0.244, 0.744)  0.00
F (0.553, 0.786, 0.786)  0.00
F (0.000, 0.786, 0.233)  0.00
F (0.000, 0.233, 0.786)  0.00
F (0.000, 0.194, 0.194)  0.00
F (0.447, 0.233, 0.233)  0.00
As (0.000, 0.985, 0.985)  0.00
O (0.000, 0.795, 0.795)  0.06

- Fermi-level density of states (states/eV per cell) = 0.0



7.
KAsO2F4 | PBE-GGA | optimized geometry

a b c (Å): 8.078 8.078 6.543
angles (deg): 86.48 86.48 144.24
Each line ends with the local moment (μB).
Atoms (fractional coordinates):
F (0.744, 0.479, 0.994)  0.02
F (0.807, 0.693, 0.651)  0.00
F (0.693, 0.807, 0.151)  0.00
F (0.307, 0.193, 0.849)  0.00
F (0.479, 0.744, 0.494)  0.02
F (0.521, 0.256, 0.506)  0.02
F (0.256, 0.521, 0.006)  0.02
F (0.193, 0.307, 0.349)  0.00
K (0.902, 0.098, 0.750)  0.00
K (0.098, 0.902, 0.250)  0.00
As (0.639, 0.361, 0.750)  -0.03
As (0.361, 0.639, 0.250)  -0.03
O (0.962, 0.501, 0.670)  0.83
O (0.501, 0.962, 0.170)  0.83
O (0.038, 0.499, 0.330)  0.83
O (0.499, 0.038, 0.830)  0.83

- ΔE to the lowest computed polymorph (meV per atom) = 0



8.
K2AsPdF | PBE-GGA | optimized geometry

a b c (Å): 6.459 4.130 6.459
angles (deg): 90.00 90.00 90.00
Each line ends with the local moment (μB).
Atoms (fractional coordinates):
F (0.000, 0.500, 0.000)  0.07
Pd (0.500, 0.500, 0.500)  0.05
As (0.000, 0.000, 0.000)  0.34
K (0.500, 0.000, 0.000)  0.01
K (0.000, 0.000, 0.500)  0.01

- Fermi-level density of states (states/eV per cell) = 4.2



9.
KRb2AsF6 | PBE-GGA | optimized geometry

a b c (Å): 6.526 6.526 6.526
angles (deg): 60.00 60.00 60.00
Atoms (fractional coordinates):
F (0.776, 0.224, 0.224)
F (0.224, 0.224, 0.776)
F (0.776, 0.224, 0.776)
F (0.776, 0.776, 0.224)
F (0.224, 0.776, 0.776)
F (0.224, 0.776, 0.224)
As (0.000, 0.000, 0.000)
Rb (0.750, 0.750, 0.750)
Rb (0.250, 0.250, 0.250)
K (0.500, 0.500, 0.500)

- Fermi-level density of states (states/eV per cell) = 0.0



10.
KRbAsF6 | PBE-GGA | optimized geometry

a b c (Å): 6.308 6.308 5.408
angles (deg): 90.01 89.99 59.97
Each line ends with the local moment (μB).
Atoms (fractional coordinates):
F (0.585, 0.333, 0.702)  0.10
F (0.082, 0.586, 0.702)  0.10
F (0.082, 0.332, 0.298)  0.10
F (0.586, 0.082, 0.298)  0.10
F (0.332, 0.586, 0.298)  0.10
F (0.332, 0.082, 0.702)  0.10
Rb (0.000, 0.000, 0.000)  0.01
As (0.333, 0.333, 0.500)  0.28
K (0.667, 0.667, 0.500)  0.00

- Fermi-level density of states (states/eV per cell) = 3.0



11.
K2RbAsF | PBE-GGA | optimized geometry

a b c (Å): 5.287 5.287 5.530
angles (deg): 90.00 90.00 90.00
Each line ends with the local moment (μB).
Atoms (fractional coordinates):
K (0.000, 0.500, 0.000)  0.00
K (0.500, 0.000, 0.000)  0.00
As (0.500, 0.500, 0.500)  0.38
F (0.000, 0.000, 0.000)  0.00
Rb (0.000, 0.000, 0.500)  0.01

- ΔE to the lowest computed polymorph (meV per atom) = 0
- Fermi-level density of states (states/eV per cell) = 3.2



12.
K2RbAsF | PBE-GGA | optimized geometry

a b c (Å): 5.117 7.145 5.117
angles (deg): 90.00 90.00 90.00
Each line ends with the local moment (μB).
Atoms (fractional coordinates):
As (0.000, 0.500, 0.000)  0.49
K (0.500, 0.000, 0.000)  -0.01
K (0.000, 0.000, 0.500)  -0.01
Rb (0.500, 0.500, 0.500)  0.01
F (0.000, 0.000, 0.000)  0.02

- ΔE to the lowest computed polymorph (meV per atom) = 357
- Fermi-level density of states (states/eV per cell) = 3.7



E_form (uncorrected) in eV/f.u., matching the order above: -0.49, -24.25, -17.68, -12.61, -9.25, -21.09, -13.21, -0.93, -25.38, -21.83, -5.96, -4.17
DFT total energy in eV/atom, matching the order above: -2.9868, -4.8306, -4.6580, -4.4702, -4.7391, -4.6940, -4.5449, -2.9685, -4.4286, -4.4192, -3.1281, -2.7713